The following is a DFT calculation (PBEsol) of a relaxed BeCo2Mo crystal.

a b c (Å): 2.622 2.622 6.090
angles (deg): 90.00 90.00 90.00
Space group P4/mmm (No. 123)
Inequivalent atoms, fractional coordinates:
Be (0.000, 0.000, 0.000)
Co (0.500, 0.500, 0.209)
Mo (0.000, 0.000, 0.500)

**Crystal system**: tetragonal
**DOS at the Fermi energy**: 3.50 states/eV/f.u.
**Formation energy from the elements**: -0.73 eV per formula unit
**Volume**: 42 Å³/f.u.